(1)
Na2UNi3H12 | PBE-GGA | relaxed

Values from the calculation:
Total DFT energy (no corrections), eV per atom: -4.085
D(E_F), states/eV/f.u.: 8.2
Space group: R-3m (166)

Unit cell a=5.8866 b=5.8866 c=5.8866 alpha=67.34 beta=67.34 gamma=67.34
Positions (direct):
1 Na 0.6172 0.6172 0.6172
2 Na 0.3828 0.3828 0.3828
3 U 0.0000 0.0000 0.0000
4 Ni 0.5000 0.0000 0.0000
5 Ni 0.0000 0.5000 0.0000
6 Ni 0.0000 0.0000 0.5000
7 H 0.2632 0.2632 0.9091
8 H 0.8672 0.8672 0.4208
9 H 0.4208 0.8672 0.8672
10 H 0.9091 0.2632 0.2632
11 H 0.8672 0.4208 0.8672
12 H 0.2632 0.9091 0.2632
13 H 0.7368 0.7368 0.0909
14 H 0.1328 0.1328 0.5792
15 H 0.5792 0.1328 0.1328
16 H 0.0909 0.7368 0.7368
17 H 0.1328 0.5792 0.1328
18 H 0.7368 0.0909 0.7368

=====

(2)
NaZn2NiH8 | PBE-GGA | relaxed

Values from the calculation:
Total DFT energy (no corrections), eV per atom: -2.982
D(E_F), states/eV/f.u.: 2.1
Space group: P-1 (2)

Unit cell a=4.1976 b=4.3130 c=7.0422 alpha=90.92 beta=81.82 gamma=67.46
Positions (direct):
1 Na 0.0000 0.0000 0.5000
2 Zn 0.3068 0.3757 0.8087
3 Zn 0.6932 0.6243 0.1913
4 Ni 0.0000 0.0000 0.0000
5 H 0.2514 0.7851 0.1495
6 H 0.7999 0.7723 0.9718
7 H 0.7174 0.1930 0.1737
8 H 0.7486 0.2149 0.8505
9 H 0.2001 0.2277 0.0282
10 H 0.2826 0.8070 0.8263
11 H 0.7121 0.6645 0.4161
12 H 0.2879 0.3355 0.5839

=====

(3)
Na2ZnNiH6 | PBE-GGA | relaxed

Values from the calculation:
Total DFT energy (no corrections), eV per atom: -3.043
D(E_F), states/eV/f.u.: 1.8
Space group: P-3m1 (164)

Unit cell a=4.6180 b=5.0822 c=5.0822 alpha=120.00 beta=90.00 gamma=90.00
Positions (direct):
1 Na 0.2102 0.3333 0.6667
2 Na 0.7898 0.6667 0.3333
3 Zn 0.5000 0.0000 0.0000
4 Ni 0.0000 0.0000 0.0000
5 H 0.7827 0.1520 0.3040
6 H 0.7827 0.1520 0.8480
7 H 0.7827 0.6960 0.8480
8 H 0.2173 0.8480 0.1520
9 H 0.2173 0.3040 0.1520
10 H 0.2173 0.8480 0.6960